The following is a PBE calculation of a relaxed structure of GaBiOs3, from Alexandria.

The structure in CIF format:
```
data_GaBiOs3
_space_group_name_H-M_alt 'P m -3 m'
_space_group_IT_number 221
_space_group_name_Hall '-P 4 2 3'
_cell_length_a 5.045
_cell_length_b 5.045
_cell_length_c 5.045
_cell_angle_alpha 90.00
_cell_angle_beta 90.00
_cell_angle_gamma 90.00
loop_
_atom_site_label
_atom_site_fract_x
_atom_site_fract_y
_atom_site_fract_z
Ga1 0.000 0.000 0.000
Bi1 0.500 0.500 0.500
Os1 0.000 0.500 0.500
```

Output
Calculated formation energy (eV/atom): 2.91
Energy relative to the lowest polymorph listed for this composition (meV/atom): 1210